Density functional theory data (PBEsol) for a geometry-optimized ReNi2W structure.

Geometry as POSCAR:
```
ReNi2W
1.0
2.563 0.000 0.000
0.000 4.062 0.000
-1.090 0.000 4.854
Re Ni W
1 2 1
Direct
0.000 0.000 0.000
0.302 0.000 0.538
0.409 0.500 0.791
0.709 0.500 0.318
```

## Properties
Formation enthalpy at 0 K ... -0.219 eV/f.u.
Calculated density ... 16.0 g cm⁻³
DOS at the Fermi energy ... 2.1 states/eV per cell
M_tot ... 0.00 μB per cell
V ... 12.63 Å³/atom

Density functional theory data (PBEsol) for a geometry-optimized Ta2CrCl structure.

Geometry as POSCAR:
```
Ta2CrCl
1.0
4.225 0.000 0.000
0.000 4.225 0.000
0.000 0.000 6.882
Ta Cr Cl
4 2 2
Direct
0.000 0.500 0.250
0.000 0.500 0.750
0.500 0.000 0.250
0.500 0.000 0.750
0.000 0.000 0.000
0.500 0.500 0.500
0.000 0.000 0.500
0.500 0.500 0.000
```

## Properties
Electronic total energy ... -0.634 Ry/atom
Calculated density ... 12.1 g cm⁻³
DOS at the Fermi energy ... 8.5 states/eV per cell
M_tot ... 1.53 μB per cell
V ... 15.36 Å³/atom

Density functional theory data (PBEsol) for a geometry-optimized CsZn2Se2 structure.

Geometry as POSCAR:
```
CsZn2Se2
1.0
4.533 0.000 0.000
0.000 4.533 0.000
0.000 0.000 12.957
Cs Zn Se
2 4 4
Direct
0.000 0.000 0.000
0.500 0.500 0.500
0.000 0.500 0.250
0.000 0.500 0.750
0.500 0.000 0.250
0.500 0.000 0.750
0.000 0.000 0.343
0.000 0.000 0.657
0.500 0.500 0.157
0.500 0.500 0.843
```

## Properties
Electronic total energy ... -0.218 Ry/atom
Calculated density ... 5.3 g cm⁻³
DOS at the Fermi energy ... 2.3 states/eV per cell
M_tot ... 0.00 μB per cell
V ... 26.63 Å³/atom

Density functional theory data (PBEsol) for a geometry-optimized Y2MnRh structure.

Geometry as POSCAR:
```
Y2MnRh
1.0
3.755 0.000 0.000
0.000 4.191 0.000
0.000 0.000 10.798
Y Mn Rh
4 2 2
Direct
0.000 0.000 0.000
0.000 0.500 0.500
0.500 0.000 0.292
0.500 0.500 0.792
0.500 0.000 0.583
0.500 0.500 0.083
0.000 0.000 0.728
0.000 0.500 0.228
```

## Properties
Formation enthalpy at 0 K ... -0.960 eV/f.u.
Calculated density ... 6.6 g cm⁻³
DOS at the Fermi energy ... 8.4 states/eV per cell
M_tot ... 5.49 μB per cell
V ... 21.24 Å³/atom

Density functional theory data (PBEsol) for a geometry-optimized Be4InOs structure.

Geometry as POSCAR:
```
Be4InOs
1.0
0.000 3.166 3.166
3.166 0.000 3.166
3.166 3.166 0.000
Be In Os
4 1 1
Direct
0.378 0.378 0.378
0.378 0.378 0.867
0.378 0.867 0.378
0.867 0.378 0.378
0.000 0.000 0.000
0.750 0.750 0.750
```

## Properties
Formation enthalpy at 0 K ... -0.291 eV/f.u.
Calculated density ... 8.9 g cm⁻³
DOS at the Fermi energy ... 2.5 states/eV per cell
M_tot ... 0.00 μB per cell
V ... 10.58 Å³/atom

Density functional theory data (PBEsol) for a geometry-optimized Nb2Zn4O9 structure.

Geometry as POSCAR:
```
Nb2Zn4O9
1.0
5.186 0.000 0.000
-2.593 4.492 0.000
0.000 0.000 14.160
Nb Zn O
4 8 18
Direct
0.000 0.000 0.139
0.000 0.000 0.361
0.000 0.000 0.639
0.000 0.000 0.861
0.333 0.667 0.015
0.333 0.667 0.298
0.333 0.667 0.515
0.333 0.667 0.798
0.667 0.333 0.202
0.667 0.333 0.485
0.667 0.333 0.702
0.667 0.333 0.985
0.000 0.287 0.250
0.000 0.713 0.750
0.022 0.344 0.917
0.022 0.677 0.417
0.287 0.000 0.250
0.287 0.287 0.750
0.323 0.344 0.417
0.323 0.978 0.917
0.344 0.022 0.583
0.344 0.323 0.083
0.656 0.677 0.917
0.656 0.978 0.417
0.677 0.022 0.083
0.677 0.656 0.583
0.713 0.000 0.750
0.713 0.713 0.250
0.978 0.323 0.583
0.978 0.656 0.083
```

## Properties
Electronic total energy ... -0.510 Ry/atom
Calculated density ... 6.0 g cm⁻³
DOS at the Fermi energy ... 0.0 states/eV per cell
M_tot ... 0.00 μB per cell
V ... 11.00 Å³/atom